Compound: HfAlP2Cl
Source: Alexandria
Functional: PBE
Structure: relaxed

Energy = -5.13 eV/atom
Formation energy (no corrections) = 71 kJ/mol of formula units

a b c (Å): 4.7042 4.7042 4.4070
angles (deg): 90.00 90.00 90.00
Element x y z (fractional)
1 Hf 0.0000 0.0000 0.0000
2 Al 0.5000 0.5000 0.5000
3 P 0.0000 0.5000 0.5000
4 P 0.5000 0.0000 0.5000
5 Cl 0.5000 0.5000 0.0000